(1)
A relaxed CaAc12Pr7 crystal. Source: Alexandria via LeMat-Bulk, functional PBE.

Lattice parameters (Å, degrees): 12.2913 12.2913 12.2913 116.59 116.59 116.59
Closest atoms and distances in Å follow each position.
Fractional coordinates of all 20 atoms:
Ca 0.0000 0.0000 0.0000  8 Pr 3.32-3.45
Ac 0.0507 0.8726 0.4185  3 Pr 3.51-3.76, 2 Ac 3.74
Ac 0.1274 0.5815 0.9493  3 Pr 3.51-3.76, 2 Ac 3.74
Ac 0.1575 0.4983 0.4846  3 Pr 3.56-3.65
Ac 0.4185 0.0507 0.8726  3 Pr 3.51-3.76, 2 Ac 3.74
Ac 0.4846 0.1575 0.4983  3 Pr 3.56-3.65
Ac 0.4983 0.4846 0.1575  3 Pr 3.56-3.65
Ac 0.5017 0.5154 0.8425  3 Pr 3.56-3.65
Ac 0.5154 0.8425 0.5017  3 Pr 3.56-3.65
Ac 0.5815 0.9493 0.1274  3 Pr 3.51-3.76, 2 Ac 3.74
Ac 0.8425 0.5017 0.5154  3 Pr 3.56-3.65
Ac 0.8726 0.4185 0.0507  3 Pr 3.51-3.76, 2 Ac 3.74
Ac 0.9493 0.1274 0.5815  3 Pr 3.51-3.76, 2 Ac 3.74
Pr 0.0063 0.0741 0.2993  1 Ca 3.32, 5 Ac 3.51-3.68, 2 Pr 3.65
Pr 0.0741 0.2993 0.0063  1 Ca 3.32, 5 Ac 3.51-3.68, 2 Pr 3.65
Pr 0.2993 0.0063 0.0741  1 Ca 3.32, 5 Ac 3.51-3.68, 2 Pr 3.65
Pr 0.5000 0.5000 0.5000  2 Ca 3.45
Pr 0.7007 0.9937 0.9259  1 Ca 3.32, 5 Ac 3.51-3.68, 2 Pr 3.65
Pr 0.9259 0.7007 0.9937  1 Ca 3.32, 5 Ac 3.51-3.68, 2 Pr 3.65
Pr 0.9937 0.9259 0.7007  1 Ca 3.32, 5 Ac 3.51-3.68, 2 Pr 3.65

=====

(2)
A relaxed CaAcPr4 crystal. Source: Alexandria via LeMat-Bulk, functional PBE.

Lattice parameters (Å, degrees): 10.0365 10.0365 3.7220 100.63 100.63 39.42
Closest atoms and distances in Å follow each position.
Fractional coordinates of all 6 atoms:
Ca 0.0000 0.0000 0.0000  2 Ca 3.72, 8 Pr 3.84-3.88, 2 Ac 3.89-3.90
Ac 0.8154 0.8154 0.3156  2 Ac 3.72, 8 Pr 3.86-3.87, 2 Ca 3.89-3.90
Pr 0.3217 0.3217 0.8219  6 Pr 3.51-3.72, 4 Ac 3.86
Pr 0.4120 0.8984 0.6565  4 Pr 3.29-3.61
Pr 0.4821 0.4821 0.4808  6 Pr 3.51-3.72, 4 Ca 3.87-3.88
Pr 0.8984 0.4120 0.6565  4 Pr 3.29-3.61

=====

(3)
A relaxed Ca4Ac3Pr2 crystal. Source: Alexandria via LeMat-Bulk, functional PBE.

Lattice parameters (Å, degrees): 9.7222 9.7222 9.8734 102.99 102.99 24.27
Closest atoms and distances in Å follow each position.
Fractional coordinates of all 9 atoms:
Ca 0.0508 0.0508 0.3511  5 Ca 3.66-4.09, 6 Ac 3.92-4.07
Ca 0.2893 0.2893 0.6494  4 Ca 3.62-3.66, 2 Pr 3.65, 2 Ac 3.82
Ca 0.7107 0.7107 0.3506  4 Ca 3.62-3.66, 2 Pr 3.65, 2 Ac 3.82
Ca 0.9492 0.9492 0.6489  5 Ca 3.66-4.09, 6 Ac 3.92-4.07
Ac 0.3702 0.3702 0.2891  3 Pr 3.73-3.96, 6 Ca 3.82-4.07, 3 Ac 4.09-4.18
Ac 0.5000 0.5000 0.0000  4 Pr 3.86, 4 Ca 3.95, 4 Ac 4.09-4.18
Ac 0.6298 0.6298 0.7109  3 Pr 3.73-3.96, 6 Ca 3.82-4.07, 3 Ac 4.09-4.18
Pr 0.1755 0.1755 0.0357  2 Ca 3.65, 4 Pr 3.69-4.09, 5 Ac 3.73-3.96
Pr 0.8245 0.8245 0.9643  2 Ca 3.65, 4 Pr 3.69-4.09, 5 Ac 3.73-3.96

=====

(4)
A relaxed CaAcPr4 crystal. Source: Alexandria via LeMat-Bulk, functional PBE.

Lattice parameters (Å, degrees): 6.9662 6.9662 6.9662 60.00 60.00 60.00
Closest atoms and distances in Å follow each position.
Fractional coordinates of all 6 atoms:
Ca 0.0000 0.0000 0.0000  12 Pr 4.09, 4 Ac 4.27
Ac 0.2500 0.2500 0.2500  12 Pr 4.08, 4 Ca 4.27
Pr 0.1265 0.6245 0.6245  6 Pr 3.47-3.50
Pr 0.6245 0.1265 0.6245  6 Pr 3.47-3.50
Pr 0.6245 0.6245 0.1265  6 Pr 3.47-3.50
Pr 0.6245 0.6245 0.6245  6 Pr 3.47-3.50

=====

(5)
A relaxed Ca2Ac8Pr crystal. Source: Alexandria via LeMat-Bulk, functional PBE.

Lattice parameters (Å, degrees): 9.2444 9.2444 5.9956 90.00 90.00 105.34
Closest atoms and distances in Å follow each position.
Fractional coordinates of all 11 atoms:
Ca 0.1174 0.8826 0.0000  1 Ca 3.45, 4 Ac 3.57-3.73
Ca 0.8826 0.1174 0.0000  1 Ca 3.45, 4 Ac 3.57-3.73
Ac 0.1736 0.1736 0.5000  1 Pr 3.66, 5 Ac 3.89-3.99, 4 Ca 3.97
Ac 0.1999 0.4649 0.0000  2 Ca 3.73-4.13, 7 Ac 3.76-3.99, 2 Pr 4.04
Ac 0.2498 0.7502 0.5000  2 Ca 3.57, 1 Pr 3.68, 4 Ac 3.94
Ac 0.4649 0.1999 0.0000  2 Ca 3.73-4.13, 7 Ac 3.76-3.99, 2 Pr 4.04
Ac 0.5351 0.8001 0.0000  2 Ca 3.73-4.13, 7 Ac 3.76-3.99, 2 Pr 4.04
Ac 0.7502 0.2498 0.5000  2 Ca 3.57, 1 Pr 3.68, 4 Ac 3.94
Ac 0.8001 0.5351 0.0000  2 Ca 3.73-4.13, 7 Ac 3.76-3.99, 2 Pr 4.04
Ac 0.8264 0.8264 0.5000  1 Pr 3.66, 5 Ac 3.89-3.99, 4 Ca 3.97
Pr 0.5000 0.5000 0.5000  12 Ac 3.66-4.04

=====

(6)
A relaxed CaAcPr2 crystal. Source: Alexandria via LeMat-Bulk, functional PBE.

Lattice parameters (Å, degrees): 3.8490 3.8490 10.6368 90.00 90.00 90.00
Closest atoms and distances in Å follow each position.
Fractional coordinates of all 4 atoms:
Ca 0.0000 0.0000 0.0000  4 Ca 3.85, 8 Pr 3.85
Ac 0.0000 0.0000 0.5000  8 Pr 3.76, 4 Ac 3.85
Pr 0.5000 0.5000 0.2560  4 Ac 3.76, 4 Pr 3.85, 4 Ca 3.85
Pr 0.5000 0.5000 0.7440  4 Ac 3.76, 4 Pr 3.85, 4 Ca 3.85

=====

(7)
A relaxed CaAc2Pr crystal. Source: Alexandria via LeMat-Bulk, functional PBE.

Lattice parameters (Å, degrees): 3.8900 12.5504 6.7928 90.00 90.00 90.00
Closest atoms and distances in Å follow each position.
Fractional coordinates of all 8 atoms:
Ca 0.2500 0.2500 0.0807  6 Ac 3.84-3.92, 2 Ca 3.89, 4 Pr 3.89-3.93
Ca 0.7500 0.7500 0.9193  6 Ac 3.84-3.92, 2 Ca 3.89, 4 Pr 3.89-3.93
Ac 0.2500 0.0038 0.7443  3 Pr 3.82-3.86, 3 Ca 3.84-3.92, 6 Ac 3.85-3.98
Ac 0.2500 0.4962 0.7443  3 Pr 3.82-3.86, 3 Ca 3.84-3.92, 6 Ac 3.85-3.98
Ac 0.7500 0.5038 0.2557  3 Pr 3.82-3.86, 3 Ca 3.84-3.92, 6 Ac 3.85-3.98
Ac 0.7500 0.9962 0.2557  3 Pr 3.82-3.86, 3 Ca 3.84-3.92, 6 Ac 3.85-3.98
Pr 0.2500 0.7500 0.4225  6 Ac 3.82-3.86, 2 Pr 3.89, 4 Ca 3.89-3.93
Pr 0.7500 0.2500 0.5775  6 Ac 3.82-3.86, 2 Pr 3.89, 4 Ca 3.89-3.93

=====

(8)
A relaxed CaAc5Pr2 crystal. Source: Alexandria via LeMat-Bulk, functional PBE.

Lattice parameters (Å, degrees): 9.6539 9.6539 9.6539 156.79 102.88 81.84
Closest atoms and distances in Å follow each position.
Fractional coordinates of all 8 atoms:
Ca 0.0000 0.0000 0.0000  2 Ca 3.88, 4 Pr 4.08, 8 Ac 4.22
Ac 0.1337 0.3673 0.7665  3 Pr 3.61-3.85, 7 Ac 3.87-3.95
Ac 0.3992 0.6327 0.7665  3 Pr 3.61-3.85, 7 Ac 3.87-3.95
Ac 0.5000 0.0000 0.5000  2 Pr 3.70, 10 Ac 3.88-3.93
Ac 0.6008 0.3673 0.2335  3 Pr 3.61-3.85, 7 Ac 3.87-3.95
Ac 0.8663 0.6327 0.2335  3 Pr 3.61-3.85, 7 Ac 3.87-3.95
Pr 0.2461 0.7461 0.5000  7 Ac 3.61-3.85, 2 Pr 3.88
Pr 0.7539 0.2539 0.5000  7 Ac 3.61-3.85, 2 Pr 3.88

=====

(9)
A relaxed Ca6Ac8Pr crystal. Source: Alexandria via LeMat-Bulk, functional PBE.

Lattice parameters (Å, degrees): 10.7664 10.7664 6.5987 90.00 90.00 120.00
Closest atoms and distances in Å follow each position.
Fractional coordinates of all 15 atoms:
Ca 0.0953 0.6226 0.2623  8 Ac 3.82-4.10, 4 Ca 3.95-4.21
Ca 0.3774 0.4728 0.2623  8 Ac 3.82-4.10, 4 Ca 3.95-4.21
Ca 0.4728 0.0953 0.7377  8 Ac 3.82-4.10, 4 Ca 3.95-4.21
Ca 0.5272 0.9047 0.2623  8 Ac 3.82-4.10, 4 Ca 3.95-4.21
Ca 0.6226 0.5272 0.7377  8 Ac 3.82-4.10, 4 Ca 3.95-4.21
Ca 0.9047 0.3774 0.7377  8 Ac 3.82-4.10, 4 Ca 3.95-4.21
Ac 0.0518 0.7827 0.7692  1 Pr 3.20
Ac 0.2173 0.2691 0.7692  1 Pr 3.20
Ac 0.2691 0.0518 0.2308  1 Pr 3.20
Ac 0.3333 0.6667 0.7707  3 Ac 3.81, 9 Ca 4.01-4.10
Ac 0.6667 0.3333 0.2293  3 Ac 3.81, 9 Ca 4.01-4.10
Ac 0.7309 0.9482 0.7692  1 Pr 3.20
Ac 0.7827 0.7309 0.2308  1 Pr 3.20
Ac 0.9482 0.2173 0.2308  1 Pr 3.20
Pr 0.0000 0.0000 0.5000  6 Ac 3.20

=====

(10)
A relaxed Ca4AcPr3 crystal. Source: Alexandria via LeMat-Bulk, functional PBE.

Lattice parameters (Å, degrees): 5.4298 10.8689 10.8584 90.00 90.00 90.00
Closest atoms and distances in Å follow each position.
Fractional coordinates of all 16 atoms:
Ca 0.2500 0.0025 0.1303  8 Ca 3.82-3.97, 3 Pr 3.86-3.89, 1 Ac 3.89
Ca 0.2500 0.2500 0.8730  8 Ca 3.86-3.92, 2 Ac 3.90, 2 Pr 3.92
Ca 0.2500 0.4975 0.1303  8 Ca 3.82-3.97, 3 Pr 3.86-3.89, 1 Ac 3.89
Ca 0.2500 0.7500 0.8665  8 Ca 3.82-3.97, 4 Pr 3.86
Ca 0.7500 0.2500 0.1335  8 Ca 3.82-3.97, 4 Pr 3.86
Ca 0.7500 0.5025 0.8697  8 Ca 3.82-3.97, 3 Pr 3.86-3.89, 1 Ac 3.89
Ca 0.7500 0.7500 0.1270  8 Ca 3.86-3.92, 2 Ac 3.90, 2 Pr 3.92
Ca 0.7500 0.9975 0.8697  8 Ca 3.82-3.97, 3 Pr 3.86-3.89, 1 Ac 3.89
Ac 0.2500 0.7500 0.3844  8 Pr 3.68-3.85, 4 Ca 3.89-3.90
Ac 0.7500 0.2500 0.6156  8 Pr 3.68-3.85, 4 Ca 3.89-3.90
Pr 0.2500 0.2500 0.3856  6 Pr 3.68-3.84, 2 Ac 3.69, 4 Ca 3.86
Pr 0.2500 0.5005 0.6135  5 Pr 3.67-3.84, 3 Ac 3.68-3.85, 4 Ca 3.86-3.92
Pr 0.2500 0.9995 0.6135  5 Pr 3.67-3.84, 3 Ac 3.68-3.85, 4 Ca 3.86-3.92
Pr 0.7500 0.0005 0.3865  5 Pr 3.67-3.84, 3 Ac 3.68-3.85, 4 Ca 3.86-3.92
Pr 0.7500 0.4995 0.3865  5 Pr 3.67-3.84, 3 Ac 3.68-3.85, 4 Ca 3.86-3.92
Pr 0.7500 0.7500 0.6144  6 Pr 3.68-3.84, 2 Ac 3.69, 4 Ca 3.86

=====

(11)
A relaxed Ca2Ac15Pr2 crystal. Source: Alexandria via LeMat-Bulk, functional PBE.

Lattice parameters (Å, degrees): 9.7267 9.7267 9.7267 81.26 81.26 81.26
Closest atoms and distances in Å follow each position.
Fractional coordinates of all 19 atoms:
Ca 0.1731 0.1731 0.1731  15 Ac 4.48-4.78, 1 Pr 4.55
Ca 0.8269 0.8269 0.8269  15 Ac 4.48-4.78, 1 Pr 4.55
Ac 0.0000 0.5000 0.5000  8 Ac 3.70-3.74, 2 Pr 3.94
Ac 0.1418 0.1418 0.6455  8 Ac 3.70-4.14
Ac 0.1418 0.6455 0.1418  8 Ac 3.70-4.14
Ac 0.2037 0.5000 0.7963  8 Ac 3.74-4.14, 2 Pr 4.14
Ac 0.2037 0.7963 0.5000  8 Ac 3.74-4.14, 2 Pr 4.14
Ac 0.3545 0.8582 0.8582  8 Ac 3.70-4.14
Ac 0.5000 0.0000 0.5000  8 Ac 3.70-3.74, 2 Pr 3.94
Ac 0.5000 0.2037 0.7963  8 Ac 3.74-4.14, 2 Pr 4.14
Ac 0.5000 0.5000 0.0000  8 Ac 3.70-3.74, 2 Pr 3.94
Ac 0.5000 0.7963 0.2037  8 Ac 3.74-4.14, 2 Pr 4.14
Ac 0.6455 0.1418 0.1418  8 Ac 3.70-4.14
Ac 0.7963 0.2037 0.5000  8 Ac 3.74-4.14, 2 Pr 4.14
Ac 0.7963 0.5000 0.2037  8 Ac 3.74-4.14, 2 Pr 4.14
Ac 0.8582 0.3545 0.8582  8 Ac 3.70-4.14
Ac 0.8582 0.8582 0.3545  8 Ac 3.70-4.14
Pr 0.4096 0.4096 0.4096  1 Pr 3.48
Pr 0.5904 0.5904 0.5904  1 Pr 3.48

=====

no.,total energy (eV per atom),ΔE_f (eV/f.u.)
1,-4.0172,4.415
2,-4.0416,0.979
3,-3.2686,0.473
4,-4.0421,0.975
5,-3.6308,1.712
6,-3.8739,0.173
7,-3.7295,0.080
8,-3.9751,0.302
9,-3.1368,2.604
10,-3.2862,0.163
11,-3.6986,4.915